Entry 1:
Entry from Alexandria: LaY2MgHg4 after structural relaxation (PBE-GGA).

abc: 5.1444 5.1444 9.5788
angles: 74.42 74.42 60.00
With the nearest neighbours (Å) after each atom.
Atoms (fractional coordinates):
Hg  0.3833  0.3833  0.8502  1 Mg 3.19, 3 Y 3.19, 3 La 3.27
Hg  0.8734  0.8734  0.3799  4 Y 3.11-3.12, 3 Mg 3.17, 1 La 3.46
Hg  0.1266  0.1266  0.6201  4 Y 3.11-3.12, 3 Mg 3.17, 1 La 3.46
Hg  0.6167  0.6167  0.1498  1 Mg 3.19, 3 Y 3.19, 3 La 3.27
Mg  0.5000  0.5000  0.5000  8 Hg 3.17-3.19
Y  0.7592  0.7592  0.7223  7 Hg 3.11-3.19
Y  0.2408  0.2408  0.2777  7 Hg 3.11-3.19
La  0.0000  0.0000  0.0000  8 Hg 3.27-3.46

Results
For the calculated volume, the calculation gives 26.1 A^3/atom. Its space group is R-3m. The theoretical density comes out at 9.10 Mg/m³. For the formation energy, the calculation gives -0.45 eV/atom.

---

Entry 2:
Entry from Alexandria: PaNbTc2 after structural relaxation (PBE-GGA).

abc: 3.2633 4.5203 9.9720
angles: 90.00 90.00 90.00
With the nearest neighbours (Å) after each atom.
Atoms (fractional coordinates):
Nb  0.5000  0.2500  0.8914  8 Tc 2.74-2.79
Nb  0.5000  0.7500  0.1086  8 Tc 2.74-2.79
Tc  0.0000  0.7500  0.8881  6 Nb 2.74-2.79, 2 Pa 3.03
Tc  0.0000  0.7500  0.3326  2 Nb 2.77, 4 Pa 2.81
Tc  0.0000  0.2500  0.1119  6 Nb 2.74-2.79, 2 Pa 3.03
Tc  0.0000  0.2500  0.6674  2 Nb 2.77, 4 Pa 2.81
Pa  0.5000  0.7500  0.6323  6 Tc 2.81-3.03
Pa  0.5000  0.2500  0.3677  6 Tc 2.81-3.03

Results
For the calculated volume, the calculation gives 18.4 A^3/atom. Its space group is Pmma. The theoretical density comes out at 11.74 Mg/m³. For the formation energy, the calculation gives -0.24 eV/atom.

---

Entry 3:
Entry from Alexandria: La2Er3Pt4 after structural relaxation (PBE-GGA).

abc: 7.9212 7.6263 7.6593
angles: 90.00 90.00 109.38
With the nearest neighbours (Å) after each atom.
Atoms (fractional coordinates):
Pt  0.6345  0.9065  0.0411  4 Er 2.85-3.02, 1 Pt 3.00, 1 La 3.09
Pt  0.8655  0.0935  0.5411  4 Er 2.85-3.02, 1 Pt 3.00, 1 La 3.09
Pt  0.6280  0.5001  0.6358  5 Er 2.88-3.13, 1 Pt 2.91, 1 La 3.02
Pt  0.3720  0.4999  0.3642  5 Er 2.88-3.13, 1 Pt 2.91, 1 La 3.02
Pt  0.3655  0.0935  0.9589  4 Er 2.85-3.02, 1 Pt 3.00, 1 La 3.09
Pt  0.1345  0.9065  0.4589  4 Er 2.85-3.02, 1 Pt 3.00, 1 La 3.09
Pt  0.1280  0.5001  0.8642  5 Er 2.88-3.13, 1 Pt 2.91, 1 La 3.02
Pt  0.8720  0.4999  0.1358  5 Er 2.88-3.13, 1 Pt 2.91, 1 La 3.02
Er  0.7511  0.7530  0.3381  6 Pt 2.85-3.02
Er  0.7489  0.2470  0.8381  6 Pt 2.85-3.02
Er  0.0000  0.5000  0.5000  6 Pt 2.94-3.13
Er  0.5000  0.5000  0.0000  6 Pt 2.94-3.13
Er  0.2511  0.7530  0.1619  6 Pt 2.85-3.02
Er  0.2489  0.2470  0.6619  6 Pt 2.85-3.02
La  0.4161  0.8034  0.6763  6 Pt 3.02-3.29
La  0.9161  0.8034  0.8237  6 Pt 3.02-3.29
La  0.0839  0.1966  0.1763  6 Pt 3.02-3.29
La  0.5839  0.1966  0.3237  6 Pt 3.02-3.29

Results
For the calculated volume, the calculation gives 24.2 A^3/atom. Its space group is P2_1/c. The theoretical density comes out at 11.87 Mg/m³. For the formation energy, the calculation gives -1.19 eV/atom.

---

Entry 4:
Entry from Alexandria: Hf6SnPb after structural relaxation (PBE-GGA).

abc: 4.4406 4.4406 8.9317
angles: 90.00 90.00 90.00
With the nearest neighbours (Å) after each atom.
Atoms (fractional coordinates):
Pb  0.0000  0.0000  0.0000  12 Hf 3.14-3.18
Hf  0.5000  0.5000  0.0000  4 Pb 3.14, 8 Hf 3.18
Hf  0.5000  0.0000  0.7446  8 Hf 3.12-3.18, 2 Sn 3.12, 2 Pb 3.18
Hf  0.0000  0.5000  0.7446  8 Hf 3.12-3.18, 2 Sn 3.12, 2 Pb 3.18
Hf  0.5000  0.0000  0.2554  8 Hf 3.12-3.18, 2 Sn 3.12, 2 Pb 3.18
Hf  0.5000  0.5000  0.5000  8 Hf 3.12, 4 Sn 3.14
Hf  0.0000  0.5000  0.2554  8 Hf 3.12-3.18, 2 Sn 3.12, 2 Pb 3.18
Sn  0.0000  0.0000  0.5000  12 Hf 3.12-3.14

Results
For the calculated volume, the calculation gives 22.0 A^3/atom. Its space group is P4/mmm. The theoretical density comes out at 13.17 Mg/m³. For the formation energy, the calculation gives -0.13 eV/atom.

---

Entry 5:
Entry from Alexandria: ScNi2SnAu after structural relaxation (PBE-GGA).

abc: 4.4633 5.4641 4.4633
angles: 90.00 90.00 90.00
With the nearest neighbours (Å) after each atom.
Atoms (fractional coordinates):
Ni  0.0000  0.0000  0.5000  2 Sc 2.23
Ni  0.5000  0.0000  0.0000  2 Sc 2.23
Sn  0.0000  0.5000  0.0000  2 Sc 2.73
Au  0.5000  0.5000  0.5000  4 Sn 3.16, 8 Ni 3.53
Sc  0.0000  0.0000  0.0000  4 Ni 2.23

Results
For the calculated volume, the calculation gives 21.8 A^3/atom. Its space group is P4/mmm. The theoretical density comes out at 7.29 Mg/m³. For the formation energy, the calculation gives 0.89 eV/atom.

---

Entry 6:
Entry from Alexandria: LiZn11Au after structural relaxation (PBE-GGA).

abc: 5.3968 6.8003 6.8747
angles: 80.36 66.89 64.75
With the nearest neighbours (Å) after each atom.
Atoms (fractional coordinates):
Zn  0.0000  0.5000  0.0000  8 Zn 2.58-2.78, 2 Au 2.70
Zn  0.0000  0.0000  0.5000  10 Zn 2.57-2.73
Zn  0.5000  0.0000  0.5000  10 Zn 2.57-2.73
Zn  0.7247  0.7864  0.7784  7 Zn 2.57-2.82, 1 Au 2.68
Zn  0.3521  0.6512  0.6485  7 Zn 2.64-2.89, 1 Au 2.74
Zn  0.9995  0.3488  0.6485  7 Zn 2.64-2.89, 1 Au 2.74
Zn  0.6479  0.3488  0.3515  7 Zn 2.64-2.89, 1 Au 2.74
Zn  0.4969  0.2136  0.7784  7 Zn 2.57-2.82, 1 Au 2.68
Zn  0.2753  0.2136  0.2216  7 Zn 2.57-2.82, 1 Au 2.68
Zn  0.0005  0.6512  0.3515  7 Zn 2.64-2.89, 1 Au 2.74
Zn  0.5031  0.7864  0.2216  7 Zn 2.57-2.82, 1 Au 2.68
Au  0.5000  0.5000  0.0000  10 Zn 2.68-2.74
Li  0.0000  0.0000  0.0000  18 Zn 3.09-3.44, 2 Au 3.32

Results
For the calculated volume, the calculation gives 16.1 A^3/atom. Its space group is C2/m. The theoretical density comes out at 7.31 Mg/m³. For the formation energy, the calculation gives -0.06 eV/atom.

---

Entry 7:
Entry from Alexandria: Sr3ZrB after structural relaxation (PBE-GGA).

abc: 5.6890 5.6890 5.6890
angles: 90.00 90.00 90.00
With the nearest neighbours (Å) after each atom.
Atoms (fractional coordinates):
Sr  0.5000  0.0000  0.0000  2 B 2.84
Sr  0.0000  0.0000  0.5000  2 B 2.84
Sr  0.0000  0.5000  0.0000  2 B 2.84
B  0.0000  0.0000  0.0000  6 Sr 2.84
Zr  0.5000  0.5000  0.5000  12 Sr 4.02

Results
For the calculated volume, the calculation gives 36.8 A^3/atom. Its space group is Pm-3m. The theoretical density comes out at 3.29 Mg/m³. For the formation energy, the calculation gives 0.81 eV/atom.

---

Entry 8:
Entry from Alexandria: Pm6PtSe2S3 after structural relaxation (PBE-GGA).

abc: 4.0590 8.3383 9.2518
angles: 102.84 102.67 90.00
With the nearest neighbours (Å) after each atom.
Atoms (fractional coordinates):
Pt  0.5000  0.0000  0.0000  6 Pm 2.89-2.96
Pm  0.9977  0.2449  0.9953  2 Pt 2.89, 3 S 2.91-2.93, 1 Se 2.99
Pm  0.3315  0.9246  0.6629  3 S 2.86-2.87, 1 Pt 2.96, 2 Se 2.98
Pm  0.0023  0.7551  0.0047  2 Pt 2.89, 3 S 2.91-2.93, 1 Se 2.99
Pm  0.6629  0.5932  0.3257  3 S 2.84-2.87, 3 Se 2.96-2.98
Pm  0.3371  0.4068  0.6743  3 S 2.84-2.87, 3 Se 2.96-2.98
Pm  0.6685  0.0754  0.3371  3 S 2.86-2.87, 1 Pt 2.96, 2 Se 2.98
S  0.8320  0.1659  0.6640  6 Pm 2.84-2.91
S  0.1680  0.8341  0.3360  6 Pm 2.84-2.91
S  0.5000  0.5000  0.0000  6 Pm 2.87-2.93
Se  0.1678  0.3367  0.3356  6 Pm 2.96-2.99
Se  0.8322  0.6633  0.6644  6 Pm 2.96-2.99

Results
For the calculated volume, the calculation gives 24.8 A^3/atom. The calculation puts the formation energy (no corrections) at -1.809 eV per atom. Its space group is C2/m. The theoretical density comes out at 7.36 Mg/m³.